Entry 1:
# KCe2Tl3Se6, optimized geometry, DFT GGA-PBE
# **SG**: No. 12
# **E_form (uncorrected)**: -13.67 eV/f.u.
data_KCe2Tl3Se6
_chemical_formula_sum 'K1 Ce2 Tl3 Se6'
_space_group_name_H-M_alt 'P 1'
_space_group_IT_number 1
_cell_length_a 4.355
_cell_length_b 9.194
_cell_length_c 10.160
_cell_angle_alpha 104.52
_cell_angle_beta 102.38
_cell_angle_gamma 90.00
loop_
_space_group_symop_operation_xyz
'x,y,z'
loop_
_atom_site_label
_atom_site_type_symbol
_atom_site_fract_x
_atom_site_fract_y
_atom_site_fract_z
Tl1 Tl 0.500 0.500 0.000
Tl2 Tl 0.159 0.829 0.317
Tl3 Tl 0.841 0.171 0.683
K1 K 0.500 0.000 0.000
Se1 Se 0.971 0.730 0.943
Se2 Se 0.029 0.270 0.057
Se3 Se 0.677 0.126 0.355
Se4 Se 0.677 0.553 0.355
Se5 Se 0.323 0.447 0.645
Se6 Se 0.323 0.874 0.645
Ce1 Ce 0.169 0.330 0.339
Ce2 Ce 0.831 0.670 0.661

---

Entry 2:
# Tl2TcGe, optimized geometry, DFT GGA-PBE
# **E_form**: 0.866 eV/atom
# **Offset from the most stable computed form**: 515 meV/atom
# **SG**: No. 225
data_Tl2TcGe
_chemical_formula_sum 'Tl2 Tc1 Ge1'
_space_group_name_H-M_alt 'P 1'
_space_group_IT_number 1
_cell_length_a 4.941
_cell_length_b 4.941
_cell_length_c 4.941
_cell_angle_alpha 60.00
_cell_angle_beta 60.00
_cell_angle_gamma 60.00
loop_
_space_group_symop_operation_xyz
'x,y,z'
loop_
_atom_site_label
_atom_site_type_symbol
_atom_site_fract_x
_atom_site_fract_y
_atom_site_fract_z
Tl1 Tl 0.750 0.750 0.750
Tl2 Tl 0.250 0.250 0.250
Ge1 Ge 0.000 0.000 0.000
Tc1 Tc 0.500 0.500 0.500

---

Entry 3:
# CaCdIn4, optimized geometry, DFT GGA-PBE
# **E_form**: -0.084 eV/atom
# **Offset from the most stable computed form**: 90 meV/atom
# **SG**: No. 216
data_CaCdIn4
_chemical_formula_sum 'Ca1 Cd1 In4'
_space_group_name_H-M_alt 'P 1'
_space_group_IT_number 1
_cell_length_a 6.193
_cell_length_b 6.193
_cell_length_c 6.193
_cell_angle_alpha 60.00
_cell_angle_beta 60.00
_cell_angle_gamma 60.00
loop_
_space_group_symop_operation_xyz
'x,y,z'
loop_
_atom_site_label
_atom_site_type_symbol
_atom_site_fract_x
_atom_site_fract_y
_atom_site_fract_z
In1 In 0.375 0.375 0.875
In2 In 0.375 0.375 0.375
In3 In 0.875 0.375 0.375
In4 In 0.375 0.875 0.375
Ca1 Ca 0.750 0.750 0.750
Cd1 Cd 0.000 0.000 0.000

---

Number 1: V 32.01 Å³/atom. Number 2: V 21.33 Å³/atom. Number 3: V 27.99 Å³/atom.